A geometry-optimized KLi3Pt structure, computed with GGA-PBE.

Its energy above the most stable polymorph in this dataset is 957 meV/atom. As for the total energy: -8.96 eV/f.u.

The structure belongs to space group Pm-3m (No. 221); the cell edges are 4.491, 4.491 and 4.491 Å and the angles 90.00°, 90.00° and 90.00°. The distinct sites, in fractional coordinates, are K at (0.000, 0.000, 0.000), Li at (0.000, 0.000, 0.500) and Pt at (0.500, 0.500, 0.500).

=====

A geometry-optimized ReOsRu4 structure, computed with GGA-PBE.

Its energy above the most stable polymorph in this dataset is 0 meV/atom. As for the total energy: -60.07 eV/f.u.

The structure belongs to space group Cmcm (No. 63); the cell edges are 8.138, 10.042 and 4.216 Å and the angles 90.00°, 90.00° and 90.00°. The distinct sites, in fractional coordinates, are Re at (0.000, 0.171, 0.250), Os at (0.000, 0.431, 0.250), Ru at (0.166, 0.069, 0.750) and Ru at (0.169, 0.329, 0.750).

=====

A geometry-optimized Tl2NiSb structure, computed with GGA-PBE.

Its energy above the most stable polymorph in this dataset is 44 meV/atom. The uncorrected formation energy comes out at 0.06 eV/atom. As for the total energy: -14.41 eV/f.u.

The structure belongs to space group P4mm (No. 99); the cell edges are 3.296, 3.296 and 9.162 Å and the angles 90.00°, 90.00° and 90.00°. The distinct sites, in fractional coordinates, are Tl at (0.000, 0.000, 0.000), Tl at (0.500, 0.500, 0.318), Ni at (0.000, 0.000, 0.547) and Sb at (0.500, 0.500, 0.680).

=====

A geometry-optimized SmZnCu structure, computed with GGA-PBE.

As for the total energy: -10.96 eV/f.u.

The structure belongs to space group P-6m2 (No. 187); the cell edges are 4.4058, 4.4058 and 3.6282 Å and the angles 90.00°, 90.00° and 120.00°. The distinct sites, in fractional coordinates, are Sm at (0.0000, 0.0000, 0.0000), Zn at (0.3333, 0.6667, 0.5000) and Cu at (0.6667, 0.3333, 0.5000).

=====

A geometry-optimized Rb2AsF6 structure, computed with GGA-PBE.

Its energy above the most stable polymorph in this dataset is 0 meV/atom. The uncorrected formation energy comes out at -2.44 eV/atom. As for the total energy: -39.81 eV/f.u.

The structure belongs to space group Fm-3m (No. 225); the cell edges are 8.792, 8.792 and 8.792 Å and the angles 90.00°, 90.00° and 90.00°. The distinct sites, in fractional coordinates, are Rb at (0.250, 0.250, 0.250), As at (0.000, 0.000, 0.000) and F at (0.000, 0.000, 0.219).

=====

A geometry-optimized Ba8SbIr2 structure, computed with GGA-PBE.

The uncorrected formation energy comes out at -0.10 eV/atom. As for the total energy: -38.33 eV/f.u.

The structure belongs to space group P-3m1 (No. 164); the cell edges are 9.5331, 9.5331 and 7.9543 Å and the angles 90.00°, 90.00° and 120.00°. The distinct sites, in fractional coordinates, are Ba at (0.1704, 0.3408, 0.2456), Ba at (0.3333, 0.6667, 0.7423), Sb at (0.0000, 0.0000, 0.5000) and Ir at (0.3333, 0.6667, 0.3840).

=====

A geometry-optimized SrTlMo2 structure, computed with GGA-PBE.

Its energy above the most stable polymorph in this dataset is 644 meV/atom. As for the total energy: -21.60 eV/f.u.

The structure belongs to space group C2/m (No. 12); the cell edges are 6.055, 10.421 and 2.879 Å and the angles 90.00°, 110.94° and 90.00°. The distinct sites, in fractional coordinates, are Sr at (0.000, 0.000, 0.000), Tl at (0.000, 0.500, 0.000) and Mo at (0.250, 0.250, 0.500).

=====

A geometry-optimized SmRe2Si2C structure, computed with GGA-PBE.

The uncorrected formation energy comes out at -0.36 eV/atom. As for the total energy: -51.84 eV/f.u.

The structure belongs to space group P4/mmm (No. 123); the cell edges are 4.172, 4.172 and 5.310 Å and the angles 90.00°, 90.00° and 90.00°. The distinct sites, in fractional coordinates, are Sm at (0.000, 0.000, 0.000), Re at (0.000, 0.500, 0.500), Si at (0.500, 0.500, 0.221) and C at (0.000, 0.000, 0.500).

=====

A geometry-optimized Ge2Se4I3 structure, computed with GGA-PBE.

The uncorrected formation energy comes out at -0.06 eV/atom. As for the total energy: -28.39 eV/f.u.

The structure belongs to space group C2/c (No. 15); the cell edges are 13.324, 11.476 and 8.278 Å and the angles 90.00°, 96.30° and 90.00°. The distinct sites, in fractional coordinates, are Ge at (0.221, 0.118, 0.463), Se at (0.117, 0.292, 0.460), Se at (0.193, 0.054, 0.149), I at (0.000, 0.042, 0.750) and I at (0.128, 0.380, 0.931).

=====

A geometry-optimized Np2GeB2Rh5 structure, computed with GGA-PBE.

As for the total energy: -84.97 eV/f.u.

The structure belongs to space group P4/mbm (No. 127); the cell edges are 9.505, 9.505 and 3.239 Å and the angles 90.00°, 90.00° and 90.00°. The distinct sites, in fractional coordinates, are Np at (0.177, 0.323, 0.000), Ge at (0.000, 0.000, 0.000), B at (0.121, 0.621, 0.000), Rh at (0.000, 0.500, 0.500) and Rh at (0.069, 0.782, 0.500).

=====

A geometry-optimized SmHo2Co9 structure, computed with GGA-PBE.

As for the total energy: -79.80 eV/f.u.

The structure belongs to space group R-3m (No. 166, hexagonal axes); the cell edges are 4.9986, 4.9986 and 24.2703 Å and the angles 90.00°, 90.00° and 120.00°. The distinct sites, in fractional coordinates, are Sm at (0.0000, 0.0000, 0.0000), Ho at (0.0000, 0.0000, 0.1402), Co at (0.0000, 0.0000, 0.3351), Co at (0.0000, 0.0000, 0.5000) and Co at (0.0036, 0.5018, 0.9180).

=====

A geometry-optimized RbAcY4S8 structure, computed with GGA-PBE.

The uncorrected formation energy comes out at -1.91 eV/atom. As for the total energy: -90.71 eV/f.u.

The structure belongs to space group R3m (No. 160, hexagonal axes); the cell edges are 8.2732, 8.2732 and 21.2975 Å and the angles 90.00°, 90.00° and 120.00°. The distinct sites, in fractional coordinates, are Rb at (0.0000, 0.0000, 0.0000), Ac at (0.0000, 0.0000, 0.3643), Y at (0.0000, 0.0000, 0.7424), Y at (0.0117, 0.5058, 0.8695), S at (0.0000, 0.0000, 0.1387), S at (0.0000, 0.0000, 0.6118), S at (0.0097, 0.5048, 0.1239) and S at (0.1859, 0.3718, 0.9380).

=====

A geometry-optimized CaTlHAu structure, computed with GGA-PBE.

Its energy above the most stable polymorph in this dataset is 24 meV/atom. As for the total energy: -12.18 eV/f.u.

The structure belongs to space group Pm (No. 6); the cell edges are 5.057, 3.659 and 5.060 Å and the angles 90.00°, 118.35° and 90.00°. The distinct sites, in fractional coordinates, are Ca at (0.000, 0.000, 0.000), Tl at (0.314, 0.500, 0.685), H at (0.840, 0.500, 0.158) and Au at (0.634, 0.500, 0.365).

=====

A geometry-optimized RbDy4Se6 structure, computed with GGA-PBE.

The uncorrected formation energy comes out at -1.77 eV/atom. As for the total energy: -59.75 eV/f.u.

The structure belongs to space group Cmcm (No. 63); the cell edges are 4.144, 13.747 and 21.909 Å and the angles 90.00°, 90.00° and 90.00°. The distinct sites, in fractional coordinates, are Rb at (0.000, 0.156, 0.250), Dy at (0.000, 0.097, 0.632), Dy at (0.000, 0.368, 0.540), Se at (0.000, 0.000, 0.000), Se at (0.000, 0.153, 0.750), Se at (0.000, 0.271, 0.080) and Se at (0.000, 0.463, 0.651).

=====

A geometry-optimized Y3Ho4Ru4 structure, computed with GGA-PBE.

As for the total energy: -78.29 eV/f.u.

The structure belongs to space group Immm (No. 71); the cell edges are 3.547, 8.893 and 16.164 Å and the angles 90.00°, 90.00° and 90.00°. The distinct sites, in fractional coordinates, are Y at (0.000, 0.000, 0.000), Y at (0.000, 0.500, 0.099), Ho at (0.000, 0.309, 0.335), Ru at (0.000, 0.000, 0.255) and Ru at (0.000, 0.223, 0.500).

=====

A geometry-optimized Tb8TcAu2 structure, computed with GGA-PBE.

As for the total energy: -56.51 eV/f.u.

The structure belongs to space group Cm (No. 8); the cell edges are 8.284, 13.902 and 5.760 Å and the angles 90.00°, 112.77° and 90.00°. The distinct sites, in fractional coordinates, are Tb at (0.000, 0.000, 0.000), Tb at (0.072, 0.384, 0.791), Tb at (0.147, 0.117, 0.570), Tb at (0.223, 0.500, 0.382), Tb at (0.356, 0.202, 0.189), Tc at (0.362, 0.000, 0.289) and Au at (0.365, 0.299, 0.695).